Entry 1:
BaTaTl2 at its PBEsol-relaxed geometry, computed with SCAN.

Lattice parameters (Å, degrees): 3.6953 3.6953 7.7301 90.00 90.00 90.00
Last column: nearest neighbours and their distance in Å.
Fractional coordinates of all 4 atoms:
1 Tl 0.0000 0.0000 0.6953  4 Ta 3.02, 1 Tl 3.02
2 Tl 0.0000 0.0000 0.3047  4 Ta 3.02, 1 Tl 3.02
3 Ba 0.5000 0.5000 0.0000  8 Tl 3.52, 4 Ba 3.70, 2 Ta 3.87
4 Ta 0.5000 0.5000 0.5000  8 Tl 3.02

Summary:
The density comes out at 11.437 g cm⁻³. Its formation energy is 27.1 kJ per mole of atoms. The calculation puts the magnetic moment at 1.4 μB/f.u.


Entry 2:
CsAl2Ge2 at its PBEsol-relaxed geometry, computed with SCAN.

Lattice parameters (Å, degrees): 3.9902 3.9902 8.6635 103.31 103.31 90.00
Last column: nearest neighbours and their distance in Å.
Fractional coordinates of all 5 atoms:
1 Ge 0.6463 0.6463 0.2927  4 Al 2.62
2 Ge 0.3537 0.3537 0.7073  4 Al 2.62
3 Al 0.7500 0.2500 0.5000  4 Ge 2.62, 4 Al 2.82
4 Al 0.2500 0.7500 0.5000  4 Ge 2.62, 4 Al 2.82
5 Cs 0.0000 0.0000 0.0000  8 Ge 3.70, 4 Cs 3.99

Summary:
The density comes out at 4.229 g cm⁻³. Its formation energy is -15.4 kJ per mole of atoms. The calculation puts the magnetic moment at 0.0 μB/f.u.


Entry 3:
NaGaAs2Br at its PBEsol-relaxed geometry, computed with SCAN.

Lattice parameters (Å, degrees): 4.7852 4.7852 5.9961 90.00 90.00 90.00
Last column: nearest neighbours and their distance in Å.
Fractional coordinates of all 5 atoms:
1 Br 0.0000 0.0000 0.5000  2 Ga 3.00
2 Ga 0.0000 0.0000 0.0000  4 As 2.39
3 As 0.5000 0.0000 0.0000  2 Ga 2.39
4 As 0.0000 0.5000 0.0000  2 Ga 2.39
5 Na 0.5000 0.5000 0.5000  4 Br 3.38

Summary:
The density comes out at 3.900 g cm⁻³. The calculation puts the magnetic moment at 0.0 μB/f.u. As for the formation energy without anion corrections: 0.027 eV/atom.